Crystalline Rb4Y3TmSe8 at its relaxed geometry. Source: Alexandria via LeMat-Bulk, functional PBE-GGA.

Output
formation energy (no corrections)	-1.742	eV/atom
space-group type	No. 166
calculated density	4.7	g cm⁻³
V	31.0	Å³ per atom
M_tot	0.00	μB/f.u.

Lattice parameters (Å, degrees): 8.4628 9.3681 8.4635 116.88 120.00 90.00
Element x y z (fractional)
Rb 0.5000 0.0000 0.5000
Rb 0.0000 0.0000 0.0000
Rb 0.0000 0.0000 0.5000
Rb 0.5000 0.0000 0.0000
Se 0.2302 0.6949 0.9650
Se 0.7348 0.6949 0.9650
Se 0.2302 0.6950 0.4604
Se 0.7322 0.6963 0.4644
Se 0.7698 0.3051 0.0350
Se 0.2678 0.3037 0.5356
Se 0.7698 0.3050 0.5396
Se 0.2652 0.3051 0.0350
Y 0.5000 0.5000 0.0000
Y 0.0000 0.5000 0.5000
Y 0.5000 0.5000 0.5000
Tm 0.0000 0.5000 0.0000